# 1
DFT (PBE) results for a relaxed structure of ZnTcAu2.

Values from the calculation:
Formation energy from the elements: 0.149 eV per atom
D(E_F): 2.866 states/eV/cell
Spin magnetization: 0.00 μB/atom

a = 9.3645 Å, b = 9.3645 Å, c = 9.3645 Å
α = 17.53°, β = 17.53°, γ = 17.53°
With the nearest neighbours (Å) after each atom.
Atoms (fractional coordinates):
Au (0.0045, 0.0045, 0.0045)  3 Zn 2.79, 9 Au 2.85-3.02
Au (0.2464, 0.2464, 0.2464)  3 Tc 2.83, 9 Au 2.85-3.02
Tc (0.4964, 0.4964, 0.4964)  3 Zn 2.69, 3 Au 2.83, 6 Tc 2.85
Zn (0.7527, 0.7527, 0.7527)  3 Tc 2.69, 3 Au 2.79, 6 Zn 2.85

---

# 2
DFT (PBE) results for a relaxed structure of ZnTcAu4.

Values from the calculation:
Formation energy from the elements: 0.497 eV per atom
D(E_F): 2.527 states/eV/cell
Spin magnetization: 0.55 μB/atom

a = 5.4479 Å, b = 5.4479 Å, c = 5.4479 Å
α = 60.00°, β = 60.00°, γ = 60.00°
With the nearest neighbours (Å) after each atom.
Atoms (fractional coordinates):
Zn (0.0000, 0.0000, 0.0000)  12 Au 3.19, 4 Tc 3.34
Tc (0.2500, 0.2500, 0.2500)  12 Au 3.19, 4 Zn 3.34
Au (0.6250, 0.6250, 0.1250)  6 Au 2.72
Au (0.6250, 0.1250, 0.6250)  6 Au 2.72
Au (0.6250, 0.6250, 0.6250)  6 Au 2.72
Au (0.1250, 0.6250, 0.6250)  6 Au 2.72

---

# 3
DFT (PBE) results for a relaxed structure of Zn4TcAu.

Values from the calculation:
Formation energy from the elements: 0.174 eV per atom
D(E_F): 3.915 states/eV/cell
Spin magnetization: 0.16 μB/atom

a = 5.0005 Å, b = 5.0005 Å, c = 5.0005 Å
α = 60.00°, β = 60.00°, γ = 60.00°
With the nearest neighbours (Å) after each atom.
Atoms (fractional coordinates):
Zn (0.8772, 0.3743, 0.3743)  6 Zn 2.49-2.51
Zn (0.3743, 0.3743, 0.8772)  6 Zn 2.49-2.51
Zn (0.3743, 0.8772, 0.3743)  6 Zn 2.49-2.51
Zn (0.3743, 0.3743, 0.3743)  6 Zn 2.49-2.51
Tc (0.0000, 0.0000, 0.0000)  12 Zn 2.93, 4 Au 3.06
Au (0.7500, 0.7500, 0.7500)  12 Zn 2.93, 4 Tc 3.06